Record 1
This record from OQMD describes a relaxed structure of GdNbN2O. The functional is PBE.

Unit cell a=3.6695 b=6.2317 c=5.7929 alpha=90.00 beta=90.00 gamma=90.00
With the nearest neighbours (Å) after each atom.
Space group Pmc2_1 (No. 26)
Symmetry-distinct sites (fractional):
1 Gd 0.0000 0.1530 0.0000 [2 per cell]  4 N 2.34-2.47, 2 O 2.47
2 Nb 0.5000 0.3238 0.5418 [2 per cell]  4 N 1.91-2.12, 1 O 2.09
3 N 0.0000 0.2127 0.6003 [2 per cell]  2 Nb 1.99
4 N 0.5000 0.4012 0.8973 [2 per cell]  2 Nb 1.91-2.12
5 O 0.5000 0.0942 0.2790 [2 per cell]  1 Nb 2.09

Results
- Total moment: 0.00 μB/f.u.
- Calculated total energy: -45.28 eV/f.u.

=====

Record 2
This record from OQMD describes a relaxed structure of GdNbN2O. The functional is PBE.

Unit cell a=6.2695 b=6.2695 c=12.3259 alpha=90.00 beta=90.00 gamma=120.00
With the nearest neighbours (Å) after each atom.
Space group P6_3cm (No. 185)
Symmetry-distinct sites (fractional):
1 Gd 0.0000 0.0000 0.0000 [2 per cell]  6 N 2.38-2.43, 1 O 2.51
2 Gd 0.3333 0.6667 0.4594 [4 per cell]  6 N 2.36-2.42
3 Nb 0.0000 0.3335 0.2263 [6 per cell]  2 N 1.94-1.97, 3 O 2.10-2.11
4 N 0.0000 0.3059 0.3852 [6 per cell]  1 Nb 1.97
5 N 0.0000 0.3621 0.0698 [6 per cell]  1 Nb 1.94
6 O 0.0000 0.0000 0.2038 [2 per cell]  3 Nb 2.11
7 O 0.3333 0.6667 0.2436 [4 per cell]  3 Nb 2.10

Results
- Total moment: 0.00 μB/f.u.
- Calculated total energy: -43.11 eV/f.u.

=====

Record 3
This record from OQMD describes a relaxed structure of GdNbN2O. The functional is PBE.

Unit cell a=5.6321 b=5.6554 c=9.7546 alpha=73.22 beta=73.31 gamma=60.19
With the nearest neighbours (Å) after each atom.
Space group P1 (No. 1)
Symmetry-distinct sites (fractional):
1 Gd 0.0000 0.0000 0.0000 [1 per cell]  1 O 2.25, 4 N 2.47-2.50
2 Gd 0.1982 0.2973 0.2558 [1 per cell]  1 O 2.31, 4 N 2.33-2.41
3 Gd 0.4916 0.5047 0.4916 [1 per cell]  3 O 2.27-2.33, 2 N 2.47-2.51
4 Gd 0.7032 0.8077 0.7380 [1 per cell]  1 O 2.32, 4 N 2.34-2.48
5 Nb 0.1085 0.1518 0.6329 [1 per cell]  3 N 1.93-1.99, 2 O 2.11-2.13
6 Nb 0.3298 0.4063 0.8797 [1 per cell]  4 N 1.90-2.11, 1 O 2.06
7 Nb 0.5875 0.6777 0.1221 [1 per cell]  5 N 1.94-2.17
8 Nb 0.8381 0.9222 0.3611 [1 per cell]  4 N 1.90-2.11, 1 O 2.08
9 N 0.0229 0.5359 0.0306 [1 per cell]  1 Nb 1.90
10 N 0.1138 0.3797 0.7445 [1 per cell]  2 Nb 1.93-2.11
11 N 0.2080 0.7177 0.2196 [1 per cell]  2 Nb 2.00-2.11
12 N 0.2498 0.8042 0.7754 [1 per cell]  2 Nb 1.98-2.06
13 N 0.4637 0.9799 0.9546 [1 per cell]  2 Nb 1.98-2.10
14 N 0.4886 0.0596 0.5166 [1 per cell]  2 Nb 1.99-2.05
15 N 0.6214 0.8786 0.2408 [1 per cell]  2 Nb 1.94-2.05
16 N 0.7690 0.2905 0.2687 [1 per cell]  1 Nb 1.90
17 O 0.0729 0.8864 0.5031 [1 per cell]  1 Nb 2.08, 1 Gd 2.27
18 O 0.6096 0.4020 0.9792 [1 per cell]  1 Nb 2.06, 1 Gd 2.25
19 O 0.6866 0.2407 0.6985 [1 per cell]  2 Nb 2.11-2.25, 2 Gd 2.32-2.33
20 O 0.9253 0.4790 0.4628 [1 per cell]  2 Nb 2.13-2.26, 2 Gd 2.31

Results
- Total moment: 0.00 μB/f.u.
- Calculated total energy: -45.22 eV/f.u.

=====

Record 4
This record from OQMD describes a relaxed structure of GdNbN2O. The functional is PBE.

Unit cell a=7.8268 b=7.8610 c=5.6332 alpha=90.00 beta=133.61 gamma=90.00
With the nearest neighbours (Å) after each atom.
Space group C2/m (No. 12)
Symmetry-distinct sites (fractional):
1 Gd 0.2338 0.0000 0.4990 [4 per cell]  4 N 2.34-2.60, 2 O 2.44
2 Nb 0.2500 0.2500 0.0000 [4 per cell]  2 O 2.06, 4 N 2.07
3 N 0.0000 0.2086 0.5000 [4 per cell]  2 Nb 2.07
4 N 0.1440 0.5000 0.9387 [4 per cell]  2 Nb 2.07
5 O 0.0000 0.1695 0.0000 [4 per cell]  2 Nb 2.06

Results
- Total moment: 0.00 μB/f.u.
- Calculated total energy: -44.83 eV/f.u.